[1]
Compound: UTl2AgCl6
Source: the Alexandria database
Functional: PBE-GGA
Structure: optimized geometry

Lattice parameters (Å, degrees): 7.6826 7.8328 10.9231 90.00 90.00 90.00
With the nearest neighbours (Å) after each atom.
Fractional coordinates of all 20 atoms:
U 0.0000 0.7322 0.5000  6 Cl 2.71-2.77
U 0.5000 0.2678 0.0000  6 Cl 2.71-2.77
Tl 0.5000 0.8049 0.1990  5 Cl 3.24-3.57
Tl 0.0000 0.1951 0.6990  5 Cl 3.24-3.57
Tl 0.5000 0.8049 0.8010  5 Cl 3.24-3.57
Tl 0.0000 0.1951 0.3010  5 Cl 3.24-3.57
Ag 0.5000 0.2496 0.5000  6 Cl 2.69-2.81
Ag 0.0000 0.7504 0.0000  6 Cl 2.69-2.81
Cl 0.5000 0.2127 0.2474  1 U 2.74, 1 Ag 2.77
Cl 0.5000 0.2127 0.7526  1 U 2.74, 1 Ag 2.77
Cl 0.0000 0.7873 0.2526  1 U 2.74, 1 Ag 2.77
Cl 0.0000 0.7873 0.7474  1 U 2.74, 1 Ag 2.77
Cl 0.2394 0.9974 0.5000  1 U 2.77, 1 Ag 2.81
Cl 0.7606 0.9974 0.5000  1 U 2.77, 1 Ag 2.81
Cl 0.2353 0.4740 0.5000  1 Ag 2.69, 1 U 2.71
Cl 0.7647 0.4740 0.5000  1 Ag 2.69, 1 U 2.71
Cl 0.7353 0.5260 0.0000  1 Ag 2.69, 1 U 2.71
Cl 0.2647 0.5260 0.0000  1 Ag 2.69, 1 U 2.71
Cl 0.2606 0.0026 0.0000  1 U 2.77, 1 Ag 2.81
Cl 0.7394 0.0026 0.0000  1 U 2.77, 1 Ag 2.81

Formation energy without anion corrections in eV/atom: -1.141
E in eV per atom: -4.136

[2]
Compound: UTl3Ag2Cl9
Source: the Alexandria database
Functional: PBE-GGA
Structure: optimized geometry

Lattice parameters (Å, degrees): 7.5769 7.5769 9.4897 90.00 90.00 120.00
With the nearest neighbours (Å) after each atom.
Fractional coordinates of all 15 atoms:
U 0.0000 0.0000 0.5000  6 Cl 2.63
Tl 0.3333 0.6667 0.7691  3 Cl 3.10
Tl 0.0000 0.0000 0.0000  12 Cl 3.79-3.80
Tl 0.6667 0.3333 0.2309  3 Cl 3.10
Ag 0.3333 0.6667 0.1668  6 Cl 2.70-2.77
Ag 0.6667 0.3333 0.8332  6 Cl 2.70-2.77
Cl 0.8401 0.1599 0.6663  1 U 2.63, 1 Ag 2.77
Cl 0.8401 0.6802 0.6663  1 U 2.63, 1 Ag 2.77
Cl 0.3198 0.1599 0.6663  1 U 2.63, 1 Ag 2.77
Cl 0.6802 0.8401 0.3337  1 U 2.63, 1 Ag 2.77
Cl 0.1599 0.3198 0.3337  1 U 2.63, 1 Ag 2.77
Cl 0.1599 0.8401 0.3337  1 U 2.63, 1 Ag 2.77
Cl 0.5000 0.0000 0.0000  2 Ag 2.70
Cl 0.0000 0.5000 0.0000  2 Ag 2.70
Cl 0.5000 0.5000 0.0000  2 Ag 2.70

Formation energy without anion corrections in eV/atom: -1.094
E in eV per atom: -3.808

[3]
Compound: Tl2VAgCl6
Source: the Alexandria database
Functional: PBE-GGA
Structure: optimized geometry

Lattice parameters (Å, degrees): 7.2892 7.2920 7.0922 59.00 59.14 59.84
With the nearest neighbours (Å) after each atom.
Fractional coordinates of all 10 atoms:
Tl 0.5626 0.5640 0.3107  6 Cl 3.23-3.49
Tl 0.0696 0.0681 0.7925  6 Cl 3.23-3.49
V 0.3161 0.3162 0.0516  6 Cl 2.40
Ag 0.8162 0.8161 0.5517  6 Cl 2.74-2.76
Cl 0.5390 0.1412 0.2948  1 V 2.40
Cl 0.1389 0.0281 0.2946  1 V 2.40
Cl 0.0262 0.5443 0.2887  1 V 2.40
Cl 0.4934 0.6043 0.8085  1 V 2.40
Cl 0.6061 0.0884 0.8141  1 V 2.40
Cl 0.0934 0.4910 0.8082  1 V 2.40

Formation energy without anion corrections in eV/atom: -0.982
E in eV per atom: -3.760